This record from the Alexandria database describes an optimized crystal structure of Rb2NdHoS4. The functional is GGA-PBE.

POSCAR file:
```
Rb2NdHoS4
1.0
4.1431 0.0000 0.0000
0.0000 7.1787 0.1243
0.0000 -2.5222 7.6634
S Rb Ho Nd
4 2 1 1
Cartesian
0.0000 4.7013 1.5641
2.0716 1.2324 1.5304
0.0000 -0.0448 6.2236
2.0716 3.4241 6.2574
2.0716 -1.2611 3.8317
0.0000 2.3283 3.8939
2.0716 3.5893 0.0622
0.0000 0.0000 0.0000
```

## Properties
Its density is 4.4 g/cm³. As for the formation energy (no corrections): -1834 meV/atom. Its total DFT energy (no corrections) is -5.308 eV/atom. The calculated volume is 28.65 Å³/atom.

This record from the Alexandria database describes an optimized crystal structure of Pd3Pt2W. The functional is GGA-PBE.

POSCAR file:
```
Pd3Pt2W
1.0
-0.2665 0.3729 2.6830
-7.6213 -4.4192 -0.1426
4.6577 -8.0838 1.5862
W Pt Pd
2 4 6
Cartesian
2.3288 -4.0419 0.7931
-3.9439 -2.0231 1.2702
-0.1126 -4.3882 0.5988
-5.4616 -3.9726 1.3904
2.2316 -8.1574 2.7362
-2.8509 -8.1148 0.8449
0.0000 0.0000 0.0000
-1.6150 -6.0650 2.0633
-0.0802 -8.2270 1.1356
0.8736 -2.0180 1.7479
-4.1036 -10.1120 2.3787
-2.8834 -4.2759 0.3080
```

## Properties
The formation energy is 176 kJ/mol of formula units. Its density is 13.1 g/cm³. Its total DFT energy (no corrections) is -6.466 eV/atom. The calculated volume is 18.91 Å³/atom.

This record from the Alexandria database describes an optimized crystal structure of Rb2BaI6Cl. The functional is GGA-PBE.

POSCAR file:
```
Rb2BaI6Cl
1.0
-2.8386 -5.8659 -7.1166
9.0844 -0.4948 -3.2156
4.1101 -7.9277 -1.6467
I Rb Ba Cl
6 2 1 1
Cartesian
3.5511 -5.2397 -3.6395
6.8048 -9.0488 -8.3394
6.1781 -1.8041 -4.1665
1.5225 -1.5505 -2.5186
0.0678 -4.5567 -6.1657
4.7234 -4.8102 -7.8136
2.1972 -8.4870 -6.9647
8.1587 -5.8015 -5.0142
0.0000 0.0000 0.0000
3.1229 -3.1804 -5.1661
```

## Properties
Its density is 3.3 g/cm³. As for the formation energy (no corrections): -890 meV/atom. Its total DFT energy (no corrections) is -2.391 eV/atom. The calculated volume is 55.79 Å³/atom.

This record from the Alexandria database describes an optimized crystal structure of Ac2HoSc. The functional is GGA-PBE.

POSCAR file:
```
Ac2HoSc
1.0
-1.8324 -1.5552 -3.0906
-0.4829 -3.3481 1.9711
-8.1287 3.0934 3.2628
Ho Ac Sc
1 2 1
Cartesian
-5.2220 -0.9050 1.0716
-1.9285 0.7339 0.7741
-6.2002 2.3595 2.4887
-1.1577 -2.4517 -0.5598
```

## Properties
The formation energy is 30 kJ/mol of formula units. Its density is 7.7 g/cm³. Its total DFT energy (no corrections) is -4.704 eV/atom. The calculated volume is 35.60 Å³/atom.

This record from the Alexandria database describes an optimized crystal structure of YAlFe2Ge. The functional is GGA-PBE.

POSCAR file:
```
YAlFe2Ge
1.0
4.6185 0.0000 0.0000
0.0000 5.4139 0.0000
0.0000 0.0000 4.6185
Fe Ge Al Y
2 1 1 1
Cartesian
0.0000 0.0000 2.3093
2.3093 0.0000 0.0000
2.3093 2.7070 2.3093
0.0000 2.7070 0.0000
0.0000 0.0000 0.0000
```

## Properties
The formation energy is 893 kJ/mol of formula units. Its density is 4.3 g/cm³. Its total DFT energy (no corrections) is -4.499 eV/atom. The calculated volume is 23.10 Å³/atom.

This record from the Alexandria database describes an optimized crystal structure of MgZnSi. The functional is GGA-PBE.

POSCAR file:
```
MgZnSi
1.0
7.4264 -0.0277 -0.2426
0.0081 3.0971 -0.1013
0.1484 0.1440 4.4113
Mg Zn Si
2 2 2
Cartesian
6.5161 1.9925 4.0215
2.7076 1.9341 1.9369
0.2313 0.3955 2.0690
1.5578 0.4624 4.2330
5.1567 0.3771 1.9076
4.0589 0.4530 4.1518
```

## Properties
Its density is 3.8 g/cm³. As for the formation energy (no corrections): 67 meV/atom. Its total DFT energy (no corrections) is -2.697 eV/atom. The calculated volume is 16.95 Å³/atom.

This record from the Alexandria database describes an optimized crystal structure of RbCu2P2S6. The functional is GGA-PBE.

POSCAR file:
```
RbCu2P2S6
1.0
-2.3163 -2.2669 -7.4129
-3.3694 -6.6482 -2.9429
-4.7640 4.8987 -0.5642
Cu S P Rb
2 6 2 1
Cartesian
-4.2071 -3.7569 -3.7913
-6.2426 -0.2596 -7.1286
-7.0185 -2.0176 -5.8351
-3.4312 -1.9988 -5.0849
-6.8950 0.4769 -3.4788
-8.2807 -4.9773 -10.0563
-3.5547 -4.4934 -7.4411
-2.1690 0.9608 -0.8636
-7.1078 -1.4854 -3.8899
-3.3419 -2.5310 -7.0301
-3.5402 1.3159 -3.9885
```

## Properties
Its density is 2.7 g/cm³. As for the formation energy (no corrections): -399 meV/atom. Its total DFT energy (no corrections) is -4.467 eV/atom. The calculated volume is 26.14 Å³/atom.

This record from the Alexandria database describes an optimized crystal structure of PmPr4Dy5. The functional is GGA-PBE.

POSCAR file:
```
PmPr4Dy5
1.0
3.6394 0.0000 0.0000
0.0000 3.6394 0.0000
0.0000 0.0000 25.3697
Dy Pr Pm
5 4 1
Cartesian
1.8197 1.8197 12.6848
1.8197 1.8197 17.7752
1.8197 1.8197 22.8650
1.8197 1.8197 2.5046
1.8197 1.8197 7.5944
0.0000 0.0000 20.3160
0.0000 0.0000 5.0537
0.0000 0.0000 15.2293
0.0000 0.0000 10.1404
0.0000 0.0000 0.0000
```

## Properties
The formation energy is 16 kJ/mol of formula units. Its density is 7.5 g/cm³. Its total DFT energy (no corrections) is -4.671 eV/atom. The calculated volume is 33.60 Å³/atom.

This record from the Alexandria database describes an optimized crystal structure of Cs3KAu. The functional is GGA-PBE.

POSCAR file:
```
Cs3KAu
1.0
-3.7333 6.8403 5.4727
1.6918 -7.1084 6.1062
7.9828 3.1720 1.4810
Cs K Au
6 2 2
Cartesian
6.4574 -0.4966 4.7344
3.9914 1.5860 0.7405
0.0000 0.0000 0.0000
0.2922 3.5066 3.7401
-0.5162 3.4005 8.3254
5.6490 -0.6028 9.3197
1.4219 -0.4905 6.2119
4.5193 3.3943 6.8480
3.3244 6.4665 6.7084
2.6168 -3.5626 6.3514
```

## Properties
The formation energy is -44 kJ/mol of formula units. Its density is 2.7 g/cm³. Its total DFT energy (no corrections) is -1.478 eV/atom. The calculated volume is 76.78 Å³/atom.

This record from the Alexandria database describes an optimized crystal structure of DyTh2Ti. The functional is GGA-PBE.

POSCAR file:
```
DyTh2Ti
1.0
-2.9360 1.7283 -1.1835
-1.5166 -0.3483 3.2537
3.4725 7.5618 2.4281
Dy Th Ti
1 2 1
Cartesian
-0.4900 4.4709 2.2491
2.7112 5.9040 1.8957
0.7613 1.6578 0.5323
-2.2263 0.6900 1.0351
```

## Properties
The formation energy is 51 kJ/mol of formula units. Its density is 9.9 g/cm³. Its total DFT energy (no corrections) is -6.703 eV/atom. The calculated volume is 28.19 Å³/atom.

This record from the Alexandria database describes an optimized crystal structure of MgCdAg2. The functional is GGA-PBE.

POSCAR file:
```
MgCdAg2
1.0
4.4596 0.0000 0.0000
0.0000 4.4621 0.0000
0.0000 0.0000 3.8012
Ag Cd Mg
2 1 1
Cartesian
2.2298 2.2310 0.0000
0.0000 0.0000 0.0000
2.2298 0.0000 1.9006
0.0000 2.2310 1.9006
```

## Properties
The formation energy is -60 kJ/mol of formula units. Its density is 7.7 g/cm³. Its total DFT energy (no corrections) is -2.209 eV/atom. The calculated volume is 18.91 Å³/atom.

This record from the Alexandria database describes an optimized crystal structure of TiAs2IrBr. The functional is GGA-PBE.

POSCAR file:
```
TiAs2IrBr
1.0
-2.7337 -2.5865 -2.9110
3.6818 -2.8749 -0.9032
-1.4235 -3.1116 4.1017
Br Ir As Ti
1 1 2 1
Cartesian
-0.7118 -1.5558 2.0508
0.0000 0.0000 0.0000
1.8409 -1.4375 -0.4516
-1.3669 -1.2932 -1.4555
-0.2377 -4.2865 0.1438
```

## Properties
Its density is 6.5 g/cm³. As for the formation energy (no corrections): 614 meV/atom. Its total DFT energy (no corrections) is -4.931 eV/atom. The calculated volume is 24.18 Å³/atom.